PBE-GGA Tb12Ho3Th, optimized geometry; energy of formation = 23 meV/atom; total energy = -4.771 eV/atom; total magnetization = 0.00 μB per atom; density of states at the Fermi level = 1.37 states/eV/atom
1.0
5.032 0.000 0.000
0.000 5.032 0.000
0.000 0.000 20.086
Tb Th Ho
12 1 3
Cartesian
2.516 2.516 0.000 Tb
2.516 2.516 15.031 Tb
2.516 2.516 5.054 Tb
0.000 2.516 2.493 Tb
2.516 2.516 10.043 Tb
2.516 0.000 17.593 Tb
0.000 2.516 17.593 Tb
0.000 2.516 12.555 Tb
2.516 0.000 2.493 Tb
2.516 0.000 12.555 Tb
2.516 0.000 7.530 Tb
0.000 2.516 7.530 Tb
0.000 0.000 0.000 Th
0.000 0.000 10.043 Ho
0.000 0.000 15.064 Ho
0.000 0.000 5.022 Ho